[1]
Here is an optimized crystal structure of Zr2HgPd from Alexandria. Energies are from GGA-PBE.

Raw total energy in eV/atom: -5.992
Fermi-level density of states in states/eV per atom: 1.887
Total magnetization in μB per formula unit: 0.00
Energy of formation in eV/f.u.: -1.375

a = 3.1379 Å, b = 3.1379 Å, c = 8.1706 Å
α = 90.00°, β = 90.00°, γ = 90.00°
Closest atoms and distances in Å follow each position.
Sites, in units of the cell vectors:
Hg: 0.5000 0.5000 0.5000  8 Zr 3.12, 4 Hg 3.14
Zr: 0.0000 0.0000 0.2319  4 Pd 2.92, 4 Hg 3.12, 4 Zr 3.14
Zr: 0.0000 0.0000 0.7681  4 Pd 2.92, 4 Hg 3.12, 4 Zr 3.14
Pd: 0.5000 0.5000 0.0000  8 Zr 2.92, 4 Pd 3.14

***

[2]
Here is an optimized crystal structure of CrSBrN2 from Alexandria. Energies are from GGA-PBE.

Raw total energy in eV/atom: -5.727
Fermi-level density of states in states/eV per atom: 0.429
ΔE to the lowest computed polymorph in kJ/mol of formula units: 0
Total magnetization in μB per formula unit: 0.37

a = 3.7157 Å, b = 3.7157 Å, c = 5.3392 Å
α = 90.00°, β = 90.00°, γ = 90.00°
Closest atoms and distances in Å follow each position.
Sites, in units of the cell vectors:
S: 0.0000 0.0000 0.5000  4 Br 2.63, 2 Cr 2.67
Br: 0.5000 0.5000 0.5000  4 S 2.63
Cr: 0.0000 0.0000 0.0000  4 N 1.86
N: 0.0000 0.5000 0.0000  2 Cr 1.86
N: 0.5000 0.0000 0.0000  2 Cr 1.86

***

[3]
Here is an optimized crystal structure of TlCd2 from Alexandria. Energies are from GGA-PBE.

Raw total energy in eV/atom: -1.348
Fermi-level density of states in states/eV per atom: 0.294
Total magnetization in μB per formula unit: 0.00
Energy of formation in eV/f.u.: 0.152

a = 5.7688 Å, b = 5.7532 Å, c = 6.0891 Å
α = 65.88°, β = 65.52°, γ = 61.53°
Closest atoms and distances in Å follow each position.
Sites, in units of the cell vectors:
Cd: 0.4180 0.7481 0.2700  7 Cd 3.16-3.51, 5 Tl 3.27-3.44
Cd: 0.7514 0.0820 0.2304  7 Cd 3.15-3.50, 5 Tl 3.27-3.43
Cd: 0.5820 0.2519 0.7300  7 Cd 3.16-3.51, 5 Tl 3.27-3.44
Cd: 0.2486 0.9180 0.7696  7 Cd 3.15-3.50, 5 Tl 3.27-3.43
Tl: 0.8992 0.6004 0.7505  2 Tl 3.26-3.27, 10 Cd 3.27-3.44
Tl: 0.1008 0.3996 0.2495  2 Tl 3.26-3.27, 10 Cd 3.27-3.44

***

[4]
Here is an optimized crystal structure of LaCePmNd2 from Alexandria. Energies are from GGA-PBE.

Raw total energy in eV/atom: -4.709
Fermi-level density of states in states/eV per atom: 2.245
Total magnetization in μB per formula unit: 0.00
Energy of formation in eV/f.u.: 1.602

a = 6.5236 Å, b = 8.7031 Å, c = 6.2862 Å
α = 93.67°, β = 90.00°, γ = 90.00°
Closest atoms and distances in Å follow each position.
Sites, in units of the cell vectors:
Nd: 0.3101 0.6858 0.2766  1 Pm 3.20, 1 Nd 3.23, 1 Ce 3.42
Nd: 0.3101 0.3142 0.2234  1 Pm 3.20, 1 Nd 3.23, 1 Ce 3.42
Nd: 0.6899 0.3142 0.7234  1 Pm 3.20, 1 Nd 3.23, 1 Ce 3.42
Nd: 0.6899 0.6858 0.7766  1 Pm 3.20, 1 Nd 3.23, 1 Ce 3.42
La: 0.0000 0.0000 0.5000  2 La 3.14, 2 Pm 3.28
La: 0.0000 0.0000 0.0000  2 La 3.14, 2 Pm 3.28
Ce: 0.1527 0.5000 0.7500  6 Nd 3.42-3.73, 2 Ce 3.72
Ce: 0.8473 0.5000 0.2500  6 Nd 3.42-3.73, 2 Ce 3.72
Pm: 0.4407 0.0000 0.7500  2 Nd 3.20, 2 Pm 3.24, 2 La 3.28
Pm: 0.5593 0.0000 0.2500  2 Nd 3.20, 2 Pm 3.24, 2 La 3.28